No. 1
Density functional theory data (PBE) for a relaxed structure of ZnReSi2.

Formation energy (no corrections) ... 201 meV per atom
SG ... No. 44

a = 4.8287 Å, b = 4.8287 Å, c = 4.8287 Å
α = 140.89°, β = 128.38°, γ = 66.63°
Sites, in units of the cell vectors:
Zn1 0.0000 0.0000 0.0000
Re1 0.2696 0.7696 0.5000
Si1 0.5172 0.5172 0.0000
Si2 0.7574 0.2574 0.5000


No. 2
Density functional theory data (PBE) for a relaxed structure of LuBPt.

SG ... No. 187
DFT formation energy ... -732 meV per atom

a = 3.7865 Å, b = 3.7865 Å, c = 3.9263 Å
α = 90.00°, β = 90.00°, γ = 120.00°
Sites, in units of the cell vectors:
Lu1 0.0000 0.0000 0.0000
B1 0.3333 0.6667 0.5000
Pt1 0.6667 0.3333 0.5000